The following is a DFT calculation (PBE-GGA) of a geometry-optimized Er7Co2Pt2 structure. Values from VASP.

Space group: Cmmm (65)
Density of states at the Fermi level (states/eV per cell): 9.02
ΔE_f (meV per atom): -450

The structure in Quantum ESPRESSO input format:
```
&SYSTEM
  ibrav = 0, nat = 11, ntyp = 3
/
ATOMIC_SPECIES
Er 167.26 Er.upf
Pt 195.08 Pt.upf
Co 58.93 Co.upf
CELL_PARAMETERS angstrom
-5.0137 -2.8299 -2.8729
3.4843 -5.6839 -0.4816
-0.5740 -0.8897 6.3465
ATOMIC_POSITIONS angstrom
Er -4.4022 -4.7387 0.1791
Er -1.9195 -3.2840 1.6182
Er -0.1839 -6.1195 1.3738
Er -1.6076 -2.8784 -1.5581
Er -0.4958 -6.5251 4.5501
Er 0.0000 0.0000 0.0000
Er 2.2988 -4.6648 2.8129
Pt 0.6846 -3.5459 0.4166
Pt -2.7880 -5.8576 2.5754
Co -1.8555 -1.4499 3.6852
Co -0.2479 -7.9536 -0.6932
```

=====

The following is a DFT calculation (PBE-GGA) of a geometry-optimized Er2CoSi3Pt4 structure. Values from VASP.

Formation energy (no corrections) (kcal/mol of atoms): -21.9
Space group: P-4m2 (115)
Density of states at the Fermi level (states/eV per cell): 7.99

The structure in Quantum ESPRESSO input format:
```
&SYSTEM
  ibrav = 0, nat = 10, ntyp = 4
/
ATOMIC_SPECIES
Si 28.09 Si.upf
Pt 195.08 Pt.upf
Er 167.26 Er.upf
Co 58.93 Co.upf
CELL_PARAMETERS angstrom
4.1343 0.0000 0.0000
0.0000 4.1343 0.0000
0.0000 0.0000 10.0333
ATOMIC_POSITIONS angstrom
Si 0.0000 2.0671 1.3535
Si 0.0000 0.0000 5.0167
Si 2.0671 0.0000 8.6798
Pt 2.0671 0.0000 6.3515
Pt 0.0000 0.0000 0.0000
Pt 2.0671 2.0671 0.0000
Pt 0.0000 2.0671 3.6818
Er 2.0671 0.0000 2.5768
Er 0.0000 2.0671 7.4565
Co 2.0671 2.0671 5.0167
```

=====

The following is a DFT calculation (PBE-GGA) of a geometry-optimized SmErCoPt structure. Values from VASP.

Space group: F-43m (216)
Density of states at the Fermi level (states/eV per cell): 2.94
ΔE_f (meV per atom): -613

The structure in Quantum ESPRESSO input format:
```
&SYSTEM
  ibrav = 0, nat = 4, ntyp = 4
/
ATOMIC_SPECIES
Co 58.93 Co.upf
Pt 195.08 Pt.upf
Er 167.26 Er.upf
Sm 150.36 Sm.upf
CELL_PARAMETERS angstrom
4.8800 0.0000 0.0000
2.4400 4.2262 0.0000
2.4400 1.4087 3.9845
ATOMIC_POSITIONS angstrom
Co 4.8800 2.8175 1.9923
Pt 0.0000 0.0000 0.0000
Er 2.4400 1.4087 0.9961
Sm 7.3201 4.2262 2.9884
```

=====

The following is a DFT calculation (PBE-GGA) of a geometry-optimized ErThCoPt structure. Values from VASP.

Space group: F-43m (216)
Density of states at the Fermi level (states/eV per cell): 3.88
ΔE_f (meV per atom): -615
Relative energy among the computed polymorphs (meV per atom): 184

The structure in Quantum ESPRESSO input format:
```
&SYSTEM
  ibrav = 0, nat = 4, ntyp = 4
/
ATOMIC_SPECIES
Th 232.04 Th.upf
Er 167.26 Er.upf
Co 58.93 Co.upf
Pt 195.08 Pt.upf
CELL_PARAMETERS angstrom
4.9385 0.0000 0.0000
2.4692 4.2768 0.0000
2.4692 1.4256 4.0322
ATOMIC_POSITIONS angstrom
Th 0.0000 0.0000 0.0000
Er 4.9385 2.8512 2.0161
Co 2.4692 1.4256 1.0081
Pt 7.4077 4.2768 3.0242
```